First-principles (meta-GGA SCAN) data for a crystal of MnCdPt relaxed with PBEsol, as listed in the Alexandria database.

a = 3.3028 Å, b = 3.3028 Å, c = 8.8167 Å
α = 90.00°, β = 90.00°, γ = 90.00°
Last column: nearest neighbours and their distance in Å.
Space group I4mm (No. 107)
Asymmetric unit:
Mn (0.0000, 0.0000, 0.0000) [2 per cell]  4 Pt 2.64, 5 Cd 2.82-2.83
Cd (0.0000, 0.0000, 0.3205) [2 per cell]  5 Mn 2.82-2.83, 5 Pt 2.82
Pt (0.0000, 0.0000, 0.6408) [2 per cell]  4 Mn 2.64, 5 Cd 2.82

Density = 12.515 g cm⁻³
Energy of formation = -0.46 eV per atom
Volume = 16.0 Å³/atom
Fermi-level density of states = 1.4 states/eV/cell